Entry 1:
First-principles (GGA-PBE) data for a geometry-optimized Ba2ThGe3Pt4 structure, as listed in Alexandria.

Structure (POSCAR):
```
Ba2ThGe3Pt4
1.0
4.577 0.000 0.000
0.000 4.577 0.000
0.000 0.000 11.147
Ba Th Ge Pt
2 1 3 4
Cartesian
0.000 2.289 2.541 Ba
2.289 0.000 8.605 Ba
0.000 0.000 5.573 Th
0.000 2.289 9.908 Ge
2.289 0.000 1.238 Ge
2.289 2.289 5.573 Ge
0.000 0.000 0.000 Pt
0.000 2.289 7.302 Pt
2.289 0.000 3.845 Pt
2.289 2.289 0.000 Pt
```

Values from the calculation:
Symmetry ... P-4m2
Uncorrected energy ... -5.725 eV per atom
ΔH_f (0 K) ... -0.80 eV per atom

Entry 2:
First-principles (GGA-PBE) data for a geometry-optimized Pu2TiIn structure, as listed in Alexandria.

Structure (POSCAR):
```
Pu2TiIn
1.0
4.288 0.000 0.000
0.000 4.288 0.000
0.000 0.000 4.870
Pu Ti In
2 1 1
Cartesian
0.000 2.144 0.000 Pu
2.144 0.000 0.000 Pu
0.000 0.000 2.435 Ti
2.144 2.144 2.435 In
```

Values from the calculation:
Symmetry ... P4/mmm
Offset from the most stable computed form ... 0.0 kJ/mol of formula units
Uncorrected energy ... -9.823 eV per atom
ΔH_f (0 K) ... 0.00 eV per atom

Entry 3:
First-principles (GGA-PBE) data for a geometry-optimized Sm3Tm6Pb structure, as listed in Alexandria.

Structure (POSCAR):
```
Sm3Tm6Pb
1.0
5.818 -7.231 0.000
5.818 7.231 0.000
0.000 0.000 7.659
Sm Tm Pb
6 12 2
Cartesian
5.818 5.435 3.829 Sm
4.173 2.133 3.273 Sm
7.463 2.133 3.273 Sm
4.173 -2.133 7.103 Sm
7.463 -2.133 7.103 Sm
5.818 -5.435 0.000 Sm
3.402 2.740 0.257 Tm
5.818 5.418 7.526 Tm
2.424 0.301 5.631 Tm
2.424 -0.301 1.802 Tm
5.818 0.425 0.823 Tm
3.402 -2.740 4.086 Tm
8.234 2.740 0.257 Tm
5.818 -0.425 4.652 Tm
9.212 0.301 5.631 Tm
9.212 -0.301 1.802 Tm
5.818 -5.418 3.696 Tm
8.234 -2.740 4.086 Tm
5.818 2.517 5.932 Pb
5.818 -2.517 2.102 Pb
```

Values from the calculation:
Symmetry ... Cmc2_1
Uncorrected energy ... -4.315 eV per atom
ΔH_f (0 K) ... 0.15 eV per atom

Entry 4:
First-principles (GGA-PBE) data for a geometry-optimized LiPuAlSi2 structure, as listed in Alexandria.

Structure (POSCAR):
```
LiPuAlSi2
1.0
-2.012 2.012 5.434
2.012 -2.012 5.434
2.012 2.012 -5.434
Li Pu Al Si
1 1 1 2
Cartesian
0.000 0.000 0.000 Li
2.012 0.000 2.717 Pu
0.000 0.000 5.434 Al
0.000 2.012 1.540 Si
0.000 2.012 3.894 Si
```

Values from the calculation:
Formation energy from raw total energies ... -0.355 eV per atom
Symmetry ... I-4m2
Uncorrected energy ... -6.521 eV per atom

Entry 5:
First-principles (GGA-PBE) data for a geometry-optimized AlCr structure, as listed in Alexandria.

Structure (POSCAR):
```
AlCr
1.0
7.399 0.000 0.000
-3.699 6.407 0.000
0.000 0.000 4.200
Al Cr
6 6
Cartesian
0.000 2.591 1.050 Al
-1.455 5.112 1.050 Al
2.244 1.295 3.150 Al
1.455 5.112 1.050 Al
5.155 1.295 3.150 Al
3.699 3.816 3.150 Al
-1.166 3.599 3.150 Cr
1.166 3.599 3.150 Cr
0.000 5.618 3.150 Cr
3.699 0.790 1.050 Cr
2.534 2.809 1.050 Cr
4.865 2.809 1.050 Cr
```

Values from the calculation:
Symmetry ... P6_3/mmc
Uncorrected energy ... -6.526 eV per atom
ΔH_f (0 K) ... 0.16 eV per atom

Entry 6:
First-principles (GGA-PBE) data for a geometry-optimized Np2P3Rh5 structure, as listed in Alexandria.

Structure (POSCAR):
```
Np2P3Rh5
1.0
2.092 -11.582 0.000
2.092 11.582 0.000
0.000 0.000 6.553
Np P Rh
4 6 10
Cartesian
2.092 11.179 3.276 Np
2.092 3.959 3.130 Np
2.092 -3.959 6.407 Np
2.092 -11.179 0.000 Np
2.092 9.120 5.166 P
2.092 5.209 5.945 P
2.092 1.225 4.593 P
2.092 -1.225 1.317 P
2.092 -5.209 2.668 P
2.092 -9.120 1.889 P
2.092 9.161 1.250 Rh
2.092 7.031 4.137 Rh
2.092 6.311 1.460 Rh
2.092 2.900 6.327 Rh
2.092 1.202 2.023 Rh
2.092 -1.202 5.300 Rh
2.092 -2.900 3.051 Rh
2.092 -6.311 4.736 Rh
2.092 -7.031 0.861 Rh
2.092 -9.161 4.526 Rh
```

Values from the calculation:
Symmetry ... Cmc2_1
Uncorrected energy ... -8.548 eV per atom
ΔH_f (0 K) ... -0.66 eV per atom

Entry 7:
First-principles (GGA-PBE) data for a geometry-optimized PmAgSn2S4 structure, as listed in Alexandria.

Structure (POSCAR):
```
PmAgSn2S4
1.0
6.882 0.000 0.000
0.000 4.084 0.000
-2.413 0.000 6.832
Pm Ag Sn S
1 1 2 4
Cartesian
0.000 0.000 0.000 Pm
3.441 2.042 0.000 Ag
-1.207 2.042 3.416 Sn
2.234 0.000 3.416 Sn
1.074 2.042 1.650 S
-0.106 0.000 5.192 S
4.575 0.000 1.640 S
3.395 2.042 5.182 S
```

Values from the calculation:
Formation energy from raw total energies ... -0.790 eV per atom
Symmetry ... P2/m
Uncorrected energy ... -4.805 eV per atom

Entry 8:
First-principles (GGA-PBE) data for a geometry-optimized Nd3SmTh3Se8 structure, as listed in Alexandria.

Structure (POSCAR):
```
Nd3SmTh3Se8
1.0
4.189 2.419 6.879
-4.189 2.419 6.879
0.000 -4.837 6.879
Nd Sm Th Se
3 1 3 8
Cartesian
-2.095 -1.209 6.879 Nd
-2.095 1.209 13.757 Nd
0.000 2.419 6.879 Nd
0.000 0.000 10.318 Sm
-4.189 0.000 10.318 Th
-2.095 1.209 3.439 Th
2.095 1.209 3.439 Th
-2.131 -1.230 12.051 Se
0.000 -2.461 8.584 Se
-2.131 1.230 8.584 Se
0.000 0.000 5.162 Se
0.000 0.000 15.473 Se
2.131 -1.230 12.051 Se
0.000 2.461 12.051 Se
2.131 1.230 8.584 Se
```

Values from the calculation:
Formation energy from raw total energies ... -1.747 eV per atom
Symmetry ... R-3m
Uncorrected energy ... -6.357 eV per atom

Entry 9:
First-principles (GGA-PBE) data for a geometry-optimized Ca2EuAg structure, as listed in Alexandria.

Structure (POSCAR):
```
Ca2EuAg
1.0
4.933 0.000 0.000
0.000 4.933 0.000
0.000 0.000 5.419
Ca Eu Ag
2 1 1
Cartesian
0.000 2.467 0.000 Ca
2.467 0.000 0.000 Ca
0.000 0.000 2.710 Eu
2.467 2.467 2.710 Ag
```

Values from the calculation:
Symmetry ... P4/mmm
Offset from the most stable computed form ... 40.0 kJ/mol of formula units
Uncorrected energy ... -4.315 eV per atom
ΔH_f (0 K) ... -0.03 eV per atom

Entry 10:
First-principles (GGA-PBE) data for a geometry-optimized KSn6Cl12 structure, as listed in Alexandria.

Structure (POSCAR):
```
KSn6Cl12
1.0
7.298 4.214 3.232
-7.298 4.214 3.232
0.000 -8.427 3.232
K Sn Cl
1 6 12
Cartesian
0.000 0.000 0.000 K
-2.957 1.032 3.363 Sn
0.584 -3.077 3.363 Sn
-2.372 -2.045 6.332 Sn
2.372 2.045 3.363 Sn
-0.584 3.077 6.332 Sn
2.957 -1.032 6.332 Sn
-6.240 1.050 3.969 Cl
-4.029 -4.879 5.726 Cl
-1.574 -1.589 3.119 Cl
2.211 -5.929 3.969 Cl
-0.589 2.157 3.119 Cl
2.163 -0.568 3.119 Cl
-2.163 0.568 6.576 Cl
0.590 -2.157 6.576 Cl
-2.211 5.929 5.726 Cl
1.574 1.589 6.576 Cl
4.029 4.879 3.969 Cl
6.240 -1.050 5.726 Cl
```

Values from the calculation:
Formation energy from raw total energies ... -0.999 eV per atom
Symmetry ... R-3
Uncorrected energy ... -3.487 eV per atom

Entry 11:
First-principles (GGA-PBE) data for a geometry-optimized Ac4SnPI2 structure, as listed in Alexandria.

Structure (POSCAR):
```
Ac4SnPI2
1.0
8.087 0.000 0.000
0.000 4.623 0.000
-2.673 0.000 8.091
Ac Sn P I
4 1 1 2
Cartesian
1.211 0.000 1.614 Ac
-0.162 2.312 6.406 Ac
5.575 2.312 1.685 Ac
4.203 0.000 6.477 Ac
4.043 0.000 0.000 Sn
0.000 2.312 0.000 P
-1.337 0.000 4.045 I
2.707 2.312 4.045 I
```

Values from the calculation:
Formation energy from raw total energies ... -1.104 eV per atom
Symmetry ... P2/m
Uncorrected energy ... -4.722 eV per atom

Entry 12:
First-principles (GGA-PBE) data for a geometry-optimized AcEr2Ag2Sn2 structure, as listed in Alexandria.

Structure (POSCAR):
```
AcEr2Ag2Sn2
1.0
2.459 1.419 9.025
-2.459 1.419 9.025
0.000 -2.839 9.025
Ac Er Ag Sn
1 2 2 2
Cartesian
0.000 0.000 0.000 Ac
0.000 0.000 3.674 Er
0.000 0.000 23.401 Er
0.000 0.000 11.998 Ag
0.000 0.000 15.077 Ag
0.000 0.000 6.979 Sn
0.000 0.000 20.096 Sn
```

Values from the calculation:
Symmetry ... R-3m
Uncorrected energy ... -4.318 eV per atom
ΔH_f (0 K) ... -0.47 eV per atom

Entry 13:
First-principles (GGA-PBE) data for a geometry-optimized PmHoEr3 structure, as listed in Alexandria.

Structure (POSCAR):
```
PmHoEr3
1.0
6.258 0.000 0.000
0.000 5.618 0.000
-3.125 0.000 9.032
Pm Ho Er
2 2 6
Cartesian
-0.511 1.404 2.708 Pm
3.644 4.213 6.323 Pm
2.609 1.404 0.898 Ho
0.524 4.213 8.133 Ho
0.533 4.213 0.892 Er
-0.518 1.404 6.331 Er
0.536 4.213 4.522 Er
2.597 1.404 4.509 Er
3.651 4.213 2.701 Er
2.600 1.404 8.140 Er
```

Values from the calculation:
Symmetry ... P2_1/m
Offset from the most stable computed form ... 0.0 kJ/mol of formula units
Uncorrected energy ... -4.596 eV per atom
ΔH_f (0 K) ... 0.01 eV per atom

Entry 14:
First-principles (GGA-PBE) data for a geometry-optimized RuAu3 structure, as listed in Alexandria.

Structure (POSCAR):
```
RuAu3
1.0
4.760 0.000 0.000
0.000 5.916 0.000
0.000 0.000 4.909
Ru Au
2 6
Cartesian
1.190 1.479 0.846 Ru
3.570 4.437 4.063 Ru
1.190 0.004 3.293 Au
1.190 2.954 3.293 Au
1.190 4.437 0.787 Au
3.570 1.479 4.122 Au
3.570 2.962 1.616 Au
3.570 5.912 1.616 Au
```

Values from the calculation:
Symmetry ... Pmmn
Uncorrected energy ... -4.405 eV per atom
ΔH_f (0 K) ... 0.37 eV per atom

Entry 15:
First-principles (GGA-PBE) data for a geometry-optimized Mg12In6Ni structure, as listed in Alexandria.

Structure (POSCAR):
```
Mg12In6Ni
1.0
6.362 3.673 3.144
-6.362 3.673 3.144
0.000 -7.346 3.144
Mg In Ni
12 6 1
Cartesian
-0.728 -4.625 2.560 Mg
-1.276 -1.358 2.320 Mg
-3.642 2.943 2.560 Mg
-0.538 1.784 2.320 Mg
-4.370 -1.682 6.873 Mg
1.814 -0.426 2.320 Mg
-1.814 0.426 7.113 Mg
4.370 1.682 2.560 Mg
0.538 -1.784 7.113 Mg
3.642 -2.943 6.873 Mg
1.276 1.358 7.113 Mg
0.728 4.625 6.873 Mg
-2.808 0.459 4.128 In
-1.802 -2.202 5.305 In
1.006 -2.661 4.128 In
-1.006 2.661 5.305 In
1.802 2.202 4.128 In
2.808 -0.459 5.305 In
0.000 0.000 0.000 Ni
```

Values from the calculation:
Symmetry ... R-3
Uncorrected energy ... -2.204 eV per atom
ΔH_f (0 K) ... -0.03 eV per atom

Entry 16:
First-principles (GGA-PBE) data for a geometry-optimized LuTc2 structure, as listed in Alexandria.

Structure (POSCAR):
```
LuTc2
1.0
0.000 3.783 3.783
3.783 0.000 3.783
3.783 3.783 0.000
Lu Tc
2 4
Cartesian
0.946 0.946 0.946 Lu
6.620 6.620 6.620 Lu
3.783 1.891 1.891 Tc
1.891 3.783 1.891 Tc
1.891 1.891 3.783 Tc
3.783 3.783 3.783 Tc
```

Values from the calculation:
Symmetry ... Fd-3m
Offset from the most stable computed form ... 12.9 kJ/mol of formula units
Uncorrected energy ... -8.649 eV per atom
ΔH_f (0 K) ... -0.23 eV per atom

Entry 17:
First-principles (GGA-PBE) data for a geometry-optimized Y2PuTlC structure, as listed in Alexandria.

Structure (POSCAR):
```
Y2PuTlC
1.0
4.990 0.000 0.000
0.000 4.990 0.000
0.000 0.000 4.740
Y Pu Tl C
2 1 1 1
Cartesian
0.000 2.495 0.000 Y
2.495 0.000 0.000 Y
0.000 0.000 2.370 Pu
2.495 2.495 2.370 Tl
0.000 0.000 0.000 C
```

Values from the calculation:
Symmetry ... P4/mmm
Uncorrected energy ... -8.058 eV per atom
ΔH_f (0 K) ... -0.29 eV per atom

Entry 18:
First-principles (GGA-PBE) data for a geometry-optimized HoZr2Ru structure, as listed in Alexandria.

Structure (POSCAR):
```
HoZr2Ru
1.0
3.312 0.000 0.000
0.000 3.312 0.000
0.000 0.000 7.975
Ho Zr Ru
1 2 1
Cartesian
0.000 0.000 0.000 Ho
1.656 1.656 2.391 Zr
1.656 1.656 5.583 Zr
0.000 0.000 3.987 Ru
```

Values from the calculation:
Symmetry ... P4/mmm
Offset from the most stable computed form ... 0.0 kJ/mol of formula units
Uncorrected energy ... -7.914 eV per atom
ΔH_f (0 K) ... -0.18 eV per atom

Entry 19:
First-principles (GGA-PBE) data for a geometry-optimized Hf12Tc3Pd5 structure, as listed in Alexandria.

Structure (POSCAR):
```
Hf12Tc3Pd5
1.0
-7.799 7.799 7.799
7.799 -7.799 7.799
7.799 7.799 -7.799
Hf Tc Pd
48 12 20
Cartesian
2.372 -0.235 1.165 Hf
9.327 5.065 -4.135 Hf
7.564 -1.165 2.372 Hf
11.934 -1.527 2.735 Hf
10.172 0.235 1.165 Hf
9.327 -2.735 4.135 Hf
1.165 2.372 -0.235 Hf
10.534 3.665 -1.527 Hf
5.065 4.135 -1.527 Hf
6.634 2.372 0.235 Hf
-0.235 1.165 2.372 Hf
4.135 -1.527 5.065 Hf
7.564 6.634 -2.372 Hf
4.135 1.527 2.735 Hf
6.634 -2.372 7.564 Hf
5.065 -4.135 9.327 Hf
2.735 4.135 1.527 Hf
8.964 5.427 0.235 Hf
2.372 7.564 -1.165 Hf
9.327 2.735 3.665 Hf
4.135 9.327 -2.735 Hf
7.564 1.165 5.427 Hf
1.527 2.735 4.135 Hf
2.372 0.235 6.634 Hf
5.427 7.564 1.165 Hf
6.272 5.065 3.665 Hf
0.235 6.634 2.372 Hf
3.665 -1.527 10.534 Hf
-1.527 5.065 4.135 Hf
5.427 0.235 8.964 Hf
-1.165 2.372 7.564 Hf
5.065 3.665 6.272 Hf
2.735 11.934 -1.527 Hf
1.165 10.172 0.235 Hf
3.665 6.272 5.065 Hf
0.235 1.165 10.172 Hf
3.665 9.327 2.735 Hf
8.034 6.634 5.427 Hf
1.165 5.427 7.564 Hf
2.735 3.665 9.327 Hf
-2.735 4.135 9.327 Hf
6.634 5.427 8.034 Hf
-1.527 10.534 3.665 Hf
-2.372 7.564 6.634 Hf
-4.135 9.327 5.065 Hf
0.235 8.964 5.427 Hf
-1.527 2.735 11.934 Hf
5.427 8.034 6.634 Hf
3.900 1.950 0.000 Tc
7.799 3.900 -1.950 Tc
1.950 0.000 3.900 Tc
9.749 0.000 3.900 Tc
0.000 3.900 1.950 Tc
3.900 -1.950 7.799 Tc
3.900 9.749 0.000 Tc
7.799 3.900 5.850 Tc
-1.950 7.799 3.900 Tc
5.850 7.799 3.900 Tc
0.000 3.900 9.749 Tc
3.900 5.850 7.799 Tc
0.000 0.000 0.000 Pd
3.900 3.900 -3.900 Pd
3.900 -3.900 3.900 Pd
7.799 0.000 0.000 Pd
11.699 1.950 0.000 Pd
7.799 -3.900 5.850 Pd
5.850 7.799 -3.900 Pd
5.850 0.000 3.900 Pd
3.900 5.850 0.000 Pd
7.799 3.900 1.950 Pd
-3.900 3.900 3.900 Pd
0.000 7.799 0.000 Pd
0.000 0.000 7.799 Pd
3.900 3.900 3.900 Pd
0.000 3.900 5.850 Pd
3.900 1.950 7.799 Pd
1.950 7.799 3.900 Pd
1.950 0.000 11.699 Pd
0.000 11.699 1.950 Pd
-3.900 5.850 7.799 Pd
```

Values from the calculation:
Symmetry ... Ia-3d
Uncorrected energy ... -8.681 eV per atom
ΔH_f (0 K) ... 0.14 eV per atom